A plane-wave DFT calculation with PBE+U was carried out for a geometry-optimized HWI2O structure.

Unit cell a=5.6636 b=5.6636 c=3.0622 alpha=90.00 beta=90.00 gamma=90.00
Sites, in units of the cell vectors:
H  0.0000  0.0000  0.0000
W  0.5000  0.5000  0.5000
I  0.0000  0.5000  0.0000
I  0.5000  0.0000  0.0000
O  0.0000  0.0000  0.5000

Summary:
Final energy ... -2.82 eV per atom